This record from the Alexandria database describes crystalline SrZnAs2 at its relaxed geometry. The functional is PBE-GGA.

DFT total energy (eV per atom): -3.29
SG: P4mm, No. 99
E_form (eV/atom): -0.230

Lattice parameters (Å, degrees): 3.767 3.767 6.727 90.00 90.00 89.98
Atoms (fractional coordinates):
As 0.500 0.500 0.172
Zn 0.500 0.500 0.796
Sr 0.000 0.000 0.499
As 0.000 0.000 0.033